(1)
Material: VNi3Ag
Method: DFT, GGA-PBE
State: relaxed

Lattice parameters (Å, degrees): 4.2872 4.2872 4.2872 90.00 90.00 90.00
Element x y z (fractional)
V (0.0000, 0.0000, 0.0000)
Ni (0.0000, 0.0000, 0.5000)
Ni (0.0000, 0.5000, 0.0000)
Ni (0.5000, 0.0000, 0.0000)
Ag (0.5000, 0.5000, 0.5000)

**Crystal system**: cubic
**Raw total energy**: -0.1807 hartree per atom
**Formation energy from the elements**: 21.83 kcal/mol of atoms

---

(2)
Material: Ac6Tl3Ru2
Method: DFT, GGA-PBE
State: relaxed

Lattice parameters (Å, degrees): 12.7403 12.7403 12.7403 154.46 154.46 36.43
Element x y z (fractional)
Ac (0.0825, 0.5825, 0.5000)
Ac (0.1943, 0.1943, 0.0000)
Ac (0.4175, 0.9175, 0.5000)
Ac (0.5825, 0.0825, 0.5000)
Ac (0.8057, 0.8057, 0.0000)
Ac (0.9175, 0.4175, 0.5000)
Tl (0.3310, 0.3310, 0.0000)
Tl (0.5000, 0.5000, 0.0000)
Tl (0.6690, 0.6690, 0.0000)
Ru (0.0612, 0.0612, 0.0000)
Ru (0.9388, 0.9388, 0.0000)

**Crystal system**: tetragonal
**Raw total energy**: -0.1735 hartree per atom
**Formation energy from the elements**: -3.42 kcal/mol of atoms

---

(3)
Material: YCr2Pt
Method: DFT, GGA-PBE
State: relaxed

Lattice parameters (Å, degrees): 9.2106 9.2106 9.2106 19.58 19.58 19.58
Element x y z (fractional)
Y (0.0000, 0.0000, 0.0000)
Cr (0.2393, 0.2393, 0.2393)
Cr (0.7607, 0.7607, 0.7607)
Pt (0.5000, 0.5000, 0.5000)

**Crystal system**: trigonal
**Raw total energy**: -0.2715 hartree per atom
**Formation energy from the elements**: 12.67 kcal/mol of atoms

---

| no. | total moment (μB/f.u.) | DOS at the Fermi energy (states/eV per cell) |
| --- | --- | --- |
| 1 | 0.0 | 3.921 |
| 2 | 0.0 | 9.903 |
| 3 | 6.8 | 5.182 |